(1)
SrTaCl2 | PBE | relaxed

```
data_SrTaCl2
_cell_length_a 7.056
_cell_length_b 7.056
_cell_length_c 7.056
_cell_angle_alpha 90.00
_cell_angle_beta 90.00
_cell_angle_gamma 90.00
_space_group_name_H-M_alt 'F m -3 m'
_space_group_IT_number 225
_space_group_name_Hall '-F 4 2 3'
loop_
_atom_site_label
_atom_site_type_symbol
_atom_site_fract_x
_atom_site_fract_y
_atom_site_fract_z
Sr1 Sr 0.000 0.000 0.000
Ta1 Ta 0.000 0.000 0.500
Cl1 Cl 0.250 0.250 0.250
```

Values from the calculation:
For the formation energy without anion corrections, the calculation gives 0.06 eV/atom. The calculation puts the distance to the lowest polymorph of the same formula at 0.711 eV/atom. For the density of states at the Fermi level, the calculation gives 1.575 states/eV per atom.


(2)
SrTaCl2 | PBE | relaxed

```
data_SrTaCl2
_cell_length_a 5.005
_cell_length_b 5.005
_cell_length_c 3.298
_cell_angle_alpha 90.00
_cell_angle_beta 90.00
_cell_angle_gamma 90.00
_space_group_name_H-M_alt 'P 4/m m m'
_space_group_IT_number 123
_space_group_name_Hall '-P 4 2'
loop_
_atom_site_label
_atom_site_type_symbol
_atom_site_fract_x
_atom_site_fract_y
_atom_site_fract_z
Sr1 Sr 0.000 0.000 0.000
Ta1 Ta 0.500 0.500 0.000
Cl1 Cl 0.000 0.500 0.500
```

Values from the calculation:
For the formation energy without anion corrections, the calculation gives -0.07 eV/atom. The calculation puts the distance to the lowest polymorph of the same formula at 0.583 eV/atom. For the density of states at the Fermi level, the calculation gives 0.938 states/eV per atom.